# PBE Mo3Ru2, optimized geometry
# Crystal system: trigonal
# ΔE_f, eV/atom: 0.53
# Energy above the lowest structure with this stoichiometry, eV per formula unit: 2.51
# D(E_F), states/eV/cell: 6.37
data_Mo3Ru2
_cell_length_a 4.241
_cell_length_b 4.241
_cell_length_c 5.386
_cell_angle_alpha 90.00
_cell_angle_beta 90.00
_cell_angle_gamma 120.00
_space_group_name_H-M_alt 'P 1'
_space_group_IT_number 1
loop_
_space_group_symop_operation_xyz
'x,y,z'
loop_
_atom_site_label
_atom_site_type_symbol
_atom_site_fract_x
_atom_site_fract_y
_atom_site_fract_z
_atom_site_occupancy
Mo1 Mo 0.000 0.000 0.000 1
Mo2 Mo 0.333 0.667 0.371 1
Mo3 Mo 0.667 0.333 0.629 1
Ru1 Ru 0.333 0.667 0.851 1
Ru2 Ru 0.667 0.333 0.149 1